# Sr4ZnIn (PBE, relaxed)
# Energy above the lowest structure with this stoichiometry, meV/atom: 642
# DFT formation energy, eV per atom: 0.421
data_Sr4ZnIn
_chemical_formula_sum 'Sr16 Zn4 In4'
_space_group_name_H-M_alt 'F -4 3 m'
_space_group_IT_number 216
_space_group_name_Hall 'F -4 2 3'
_cell_length_a 10.207
_cell_length_b 10.207
_cell_length_c 10.207
_cell_angle_alpha 90.00
_cell_angle_beta 90.00
_cell_angle_gamma 90.00
loop_
_atom_site_label
_atom_site_fract_x
_atom_site_fract_y
_atom_site_fract_z
Sr1 0.125 0.125 0.125
Zn1 0.250 0.250 0.750
In1 0.000 0.000 0.500

***

# Sr3ZnIn (PBE, relaxed)
# Energy above the lowest structure with this stoichiometry, meV/atom: 300
# DFT formation energy, eV per atom: 0.037
data_Sr3ZnIn
_chemical_formula_sum 'Sr3 Zn1 In1'
_space_group_name_H-M_alt 'P m -3 m'
_space_group_IT_number 221
_space_group_name_Hall '-P 4 2 3'
_cell_length_a 6.027
_cell_length_b 6.027
_cell_length_c 6.027
_cell_angle_alpha 90.00
_cell_angle_beta 90.00
_cell_angle_gamma 90.00
loop_
_atom_site_label
_atom_site_fract_x
_atom_site_fract_y
_atom_site_fract_z
Sr1 0.000 0.000 0.500
Zn1 0.000 0.000 0.000
In1 0.500 0.500 0.500

***

# Sr3ZnIn2 (PBE, relaxed)
# DFT formation energy, eV per atom: -0.344
data_Sr3ZnIn2
_chemical_formula_sum 'Sr6 Zn2 In4'
_space_group_name_H-M_alt 'C m m m'
_space_group_IT_number 65
_space_group_name_Hall '-C 2 2'
_cell_length_a 5.667
_cell_length_b 17.034
_cell_length_c 4.058
_cell_angle_alpha 90.00
_cell_angle_beta 90.00
_cell_angle_gamma 90.00
loop_
_atom_site_label
_atom_site_fract_x
_atom_site_fract_y
_atom_site_fract_z
Sr1 0.000 0.000 0.000
Sr2 0.000 0.340 0.000
Zn1 0.000 0.500 0.500
In1 0.000 0.173 0.500

***

# Sr2ZnIn (PBE, relaxed)
# DFT formation energy, eV per atom: -0.300
data_Sr2ZnIn
_chemical_formula_sum 'Sr4 Zn2 In2'
_space_group_name_H-M_alt 'P 1 21/m 1'
_space_group_IT_number 11
_cell_length_a 6.530
_cell_length_b 4.948
_cell_length_c 8.922
_cell_angle_alpha 90.00
_cell_angle_beta 109.67
_cell_angle_gamma 90.00
loop_
_space_group_symop_operation_xyz
'x,y,z'
'-x,-y,-z'
'-x,y+1/2,-z'
'x,-y+1/2,z'
loop_
_atom_site_label
_atom_site_fract_x
_atom_site_fract_y
_atom_site_fract_z
Sr1 0.208 0.250 0.432
Sr2 0.213 0.250 0.924
Zn1 0.383 0.750 0.718
In1 0.360 0.750 0.217

***

# Sr2ZnIn2 (PBE, relaxed)
# Energy above the lowest structure with this stoichiometry, meV/atom: 0
# DFT formation energy, eV per atom: -0.373
data_Sr2ZnIn2
_chemical_formula_sum 'Sr8 Zn4 In8'
_space_group_name_H-M_alt 'C 1 2/m 1'
_space_group_IT_number 12
_cell_length_a 11.954
_cell_length_b 4.848
_cell_length_c 12.074
_cell_angle_alpha 90.00
_cell_angle_beta 117.95
_cell_angle_gamma 90.00
loop_
_space_group_symop_operation_xyz
'x,y,z'
'-x,-y,-z'
'-x,y,-z'
'x,-y,z'
'x+1/2,y+1/2,z'
'-x+1/2,-y+1/2,-z'
'-x+1/2,y+1/2,-z'
'x+1/2,-y+1/2,z'
loop_
_atom_site_label
_atom_site_fract_x
_atom_site_fract_y
_atom_site_fract_z
Sr1 0.014 0.000 0.337
Sr2 0.192 0.000 0.109
Zn1 0.222 0.500 0.346
In1 0.014 0.500 0.880
In2 0.150 0.500 0.562

***

# Sr2ZnIn (PBE, relaxed)
# DFT formation energy, eV per atom: -0.114
data_Sr2ZnIn
_chemical_formula_sum 'Sr6 Zn3 In3'
_space_group_name_H-M_alt 'R -3 m'
_space_group_IT_number 166
_space_group_name_Hall '-R 3 2"'
_cell_length_a 4.1544
_cell_length_b 4.1544
_cell_length_c 29.0097
_cell_angle_alpha 90.00
_cell_angle_beta 90.00
_cell_angle_gamma 120.00
loop_
_atom_site_label
_atom_site_fract_x
_atom_site_fract_y
_atom_site_fract_z
Sr1 0.0000 0.0000 0.2442
Zn1 0.0000 0.0000 0.5000
In1 0.0000 0.0000 0.0000

***

# Sr3Zn2In9 (PBE, relaxed)
# DFT formation energy, eV per atom: -0.288
data_Sr3Zn2In9
_chemical_formula_sum 'Sr6 Zn4 In18'
_space_group_name_H-M_alt 'I m m m'
_space_group_IT_number 71
_space_group_name_Hall '-I 2 2'
_cell_length_a 4.883
_cell_length_b 11.269
_cell_length_c 13.892
_cell_angle_alpha 90.00
_cell_angle_beta 90.00
_cell_angle_gamma 90.00
loop_
_atom_site_label
_atom_site_fract_x
_atom_site_fract_y
_atom_site_fract_z
Sr1 0.000 0.000 0.000
Sr2 0.000 0.000 0.310
Zn1 0.000 0.185 0.500
In1 0.000 0.281 0.141
In2 0.000 0.368 0.350
In3 0.000 0.500 0.000

***

# Sr3ZnIn (PBE, relaxed)
# Energy above the lowest structure with this stoichiometry, meV/atom: 0
# DFT formation energy, eV per atom: -0.263
data_Sr3ZnIn
_chemical_formula_sum 'Sr12 Zn4 In4'
_space_group_name_H-M_alt 'C m c m'
_space_group_IT_number 63
_space_group_name_Hall '-C 2c 2'
_cell_length_a 5.758
_cell_length_b 22.066
_cell_length_c 5.746
_cell_angle_alpha 90.00
_cell_angle_beta 90.00
_cell_angle_gamma 90.00
loop_
_atom_site_label
_atom_site_fract_x
_atom_site_fract_y
_atom_site_fract_z
Sr1 0.000 0.074 0.250
Sr2 0.000 0.249 0.250
Sr3 0.000 0.424 0.250
Zn1 0.000 0.341 0.750
In1 0.000 0.159 0.750

***

# Sr12Zn5In (PBE, relaxed)
# DFT formation energy, eV per atom: -0.147
data_Sr12Zn5In
_chemical_formula_sum 'Sr24 Zn10 In2'
_space_group_name_H-M_alt 'I m m m'
_space_group_IT_number 71
_space_group_name_Hall '-I 2 2'
_cell_length_a 10.678
_cell_length_b 11.197
_cell_length_c 11.624
_cell_angle_alpha 90.00
_cell_angle_beta 90.00
_cell_angle_gamma 90.00
loop_
_atom_site_label
_atom_site_fract_x
_atom_site_fract_y
_atom_site_fract_z
Sr1 0.000 0.188 0.246
Sr2 0.196 0.500 0.167
Sr3 0.225 0.321 0.500
Zn1 0.000 0.000 0.000
Zn2 0.000 0.342 0.000
Zn3 0.000 0.500 0.386
In1 0.000 0.000 0.500

***

# Sr2Zn7In (PBE, relaxed)
# DFT formation energy, eV per atom: -0.233
data_Sr2Zn7In
_chemical_formula_sum 'Sr2 Zn7 In1'
_space_group_name_H-M_alt 'P -4 m 2'
_space_group_IT_number 115
_cell_length_a 4.433
_cell_length_b 4.433
_cell_length_c 10.997
_cell_angle_alpha 90.00
_cell_angle_beta 90.00
_cell_angle_gamma 90.00
loop_
_space_group_symop_operation_xyz
'x,y,z'
'y,-x,-z'
'-x,-y,z'
'-y,x,-z'
'-x,y,z'
'-y,-x,-z'
'x,-y,z'
'y,x,-z'
loop_
_atom_site_label
_atom_site_fract_x
_atom_site_fract_y
_atom_site_fract_z
Sr1 0.000 0.500 0.241
Zn1 0.000 0.000 0.000
Zn2 0.000 0.500 0.645
Zn3 0.000 0.500 0.878
Zn4 0.500 0.500 0.000
Zn5 0.500 0.500 0.500
In1 0.000 0.000 0.500

***

# Sr6ZnIn3 (PBE, relaxed)
# DFT formation energy, eV per atom: -0.292
data_Sr6ZnIn3
_chemical_formula_sum 'Sr12 Zn2 In6'
_space_group_name_H-M_alt 'P 1 21/m 1'
_space_group_IT_number 11
_cell_length_a 10.045
_cell_length_b 5.785
_cell_length_c 13.261
_cell_angle_alpha 90.00
_cell_angle_beta 111.66
_cell_angle_gamma 90.00
loop_
_space_group_symop_operation_xyz
'x,y,z'
'-x,-y,-z'
'-x,y+1/2,-z'
'x,-y+1/2,z'
loop_
_atom_site_label
_atom_site_fract_x
_atom_site_fract_y
_atom_site_fract_z
Sr1 0.019 0.250 0.415
Sr2 0.171 0.750 0.162
Sr3 0.256 0.250 0.999
Sr4 0.344 0.750 0.827
Sr5 0.371 0.250 0.359
Sr6 0.379 0.250 0.645
Zn1 0.457 0.750 0.091
In1 0.025 0.750 0.869
In2 0.080 0.250 0.721
In3 0.261 0.750 0.470

***

# SrZn4In12 (PBE, relaxed)
# DFT formation energy, eV per atom: 0.026
data_SrZn4In12
_chemical_formula_sum 'Sr2 Zn8 In24'
_space_group_name_H-M_alt 'I m -3'
_space_group_IT_number 204
_space_group_name_Hall '-I 2 2 3'
_cell_length_a 9.709
_cell_length_b 9.709
_cell_length_c 9.709
_cell_angle_alpha 90.00
_cell_angle_beta 90.00
_cell_angle_gamma 90.00
loop_
_atom_site_label
_atom_site_fract_x
_atom_site_fract_y
_atom_site_fract_z
Sr1 0.000 0.000 0.000
Zn1 0.250 0.250 0.250
In1 0.000 0.348 0.160